Ta3AlW after structural relaxation. Source: Alexandria, functional GGA-PBE.

Structure (CIF):
```
data_Ta3AlW
_space_group_name_H-M_alt 'P m -3 m'
_space_group_IT_number 221
_space_group_name_Hall '-P 4 2 3'
_cell_length_a 4.6293
_cell_length_b 4.6293
_cell_length_c 4.6293
_cell_angle_alpha 90.00
_cell_angle_beta 90.00
_cell_angle_gamma 90.00
loop_
_atom_site_label
_atom_site_type_symbol
_atom_site_fract_x
_atom_site_fract_y
_atom_site_fract_z
Ta1 Ta 0.0000 0.0000 0.5000
Al1 Al 0.0000 0.0000 0.0000
W1 W 0.5000 0.5000 0.5000
```

Output
The calculation puts the density of states at the Fermi level at 8.2 states/eV/cell. The crystal system is cubic. Its relative energy among the computed polymorphs is 0.288 eV per formula unit. The energy relative to the elements comes out at 1538.7 meV/atom.